# Pm5Pr2Ho4 GGA-PBE optimized geometry
# excess energy over the best structure of this formula in the dataset	0	meV/atom
data_Pm5Pr2Ho4
_chemical_formula_sum 'Pm10 Pr4 Ho8'
_space_group_name_H-M_alt 'C 1 2/m 1'
_space_group_IT_number 12
_space_group_name_Hall '-C 2y'
_cell_length_a 17.819
_cell_length_b 3.560
_cell_length_c 11.730
_cell_angle_alpha 90.00
_cell_angle_beta 94.06
_cell_angle_gamma 90.00
loop_
_atom_site_label
_atom_site_type_symbol
_atom_site_fract_x
_atom_site_fract_y
_atom_site_fract_z
Pm1 Pm 0.000 0.000 0.000
Pm2 Pm 0.095 0.500 0.536
Pm3 Pm 0.176 0.500 0.068
Pr1 Pr 0.216 0.000 0.351
Ho1 Ho 0.032 0.500 0.257
Ho2 Ho 0.140 0.000 0.798

# Pm6Pr12Ho GGA-PBE optimized geometry
# excess energy over the best structure of this formula in the dataset	5	meV/atom
data_Pm6Pr12Ho
_chemical_formula_sum 'Pm18 Pr36 Ho3'
_space_group_name_H-M_alt 'R -3'
_space_group_IT_number 148
_space_group_name_Hall '-R 3'
_cell_length_a 12.3587
_cell_length_b 12.3587
_cell_length_c 15.4806
_cell_angle_alpha 90.00
_cell_angle_beta 90.00
_cell_angle_gamma 120.00
loop_
_atom_site_label
_atom_site_type_symbol
_atom_site_fract_x
_atom_site_fract_y
_atom_site_fract_z
Pm1 Pm 0.0150 0.4251 0.1862
Pr1 Pr 0.0017 0.8293 0.6901
Pr2 Pr 0.0479 0.8504 0.9165
Ho1 Ho 0.0000 0.0000 0.5000

Below is PmPr8Ho4 after structural relaxation, with properties calculated at the GGA-PBE level.

Geometry as CIF:
```
data_PmPr8Ho4
_chemical_formula_sum 'Pm3 Pr24 Ho12'
_space_group_name_H-M_alt 'R -3 m'
_space_group_IT_number 166
_space_group_name_Hall '-R 3 2"'
_cell_length_a 7.3639
_cell_length_b 7.3639
_cell_length_c 28.9671
_cell_angle_alpha 90.00
_cell_angle_beta 90.00
_cell_angle_gamma 120.00
loop_
_atom_site_label
_atom_site_type_symbol
_atom_site_fract_x
_atom_site_fract_y
_atom_site_fract_z
Pm1 Pm 0.0000 0.0000 0.0000
Pr1 Pr 0.0000 0.0000 0.2858
Pr2 Pr 0.0316 0.5158 0.2641
Ho1 Ho 0.0000 0.0000 0.5000
Ho2 Ho 0.0000 0.5000 0.5000
```

# PmPr2Ho GGA-PBE optimized geometry
# excess energy over the best structure of this formula in the dataset	6	meV/atom
data_PmPr2Ho
_chemical_formula_sum 'Pm1 Pr2 Ho1'
_space_group_name_H-M_alt 'P 4/m m m'
_space_group_IT_number 123
_space_group_name_Hall '-P 4 2'
_cell_length_a 3.655
_cell_length_b 3.655
_cell_length_c 10.308
_cell_angle_alpha 90.00
_cell_angle_beta 90.00
_cell_angle_gamma 90.00
loop_
_atom_site_label
_atom_site_type_symbol
_atom_site_fract_x
_atom_site_fract_y
_atom_site_fract_z
Pm1 Pm 0.000 0.000 0.000
Pr1 Pr 0.500 0.500 0.254
Ho1 Ho 0.000 0.000 0.500

Energy of formation for the records above, in order: 0.07; 0.12; 0.18; 0.02 eV/atom